Entry 1:
An optimized crystal structure of AcZr, computed with PBE.

abc: 5.896 10.559 5.550
angles: 90.00 90.00 73.79
Fractional coordinates of all 10 atoms:
Zr1 0.703 0.952 0.500
Zr2 0.170 0.650 0.000
Zr3 0.020 0.950 0.000
Zr4 0.248 0.800 0.500
Zr5 0.855 0.648 0.500
Ac1 0.586 0.800 0.000
Ac2 0.039 0.154 0.500
Ac3 0.392 0.446 0.500
Ac4 0.477 0.168 0.000
Ac5 0.845 0.432 0.000

Results
Offset from the most stable computed form = 0.054 eV per atom
Symmetry = Amm2 (38)
Total magnetic moment = 0.016 μB/cell
Energy of formation from the pure elements = 0.4 eV per formula unit

Entry 2:
An optimized crystal structure of Tm2Be2GeO7, computed with PBE.

abc: 7.310 7.310 4.737
angles: 90.00 90.00 90.00
Fractional coordinates of all 24 atoms:
O1 0.083 0.829 0.776
O2 0.500 0.000 0.190
O3 0.917 0.171 0.776
O4 0.143 0.643 0.283
O5 0.829 0.917 0.224
O6 0.583 0.671 0.224
O7 0.171 0.083 0.224
O8 0.417 0.329 0.224
O9 0.643 0.857 0.717
O10 0.357 0.143 0.717
O11 0.671 0.417 0.776
O12 0.000 0.500 0.810
O13 0.857 0.357 0.283
O14 0.329 0.583 0.776
Tm1 0.843 0.657 0.494
Tm2 0.657 0.157 0.506
Tm3 0.343 0.843 0.506
Tm4 0.157 0.343 0.494
Be1 0.864 0.364 0.950
Be2 0.636 0.864 0.050
Be3 0.364 0.136 0.050
Be4 0.136 0.636 0.950
Ge1 0.000 0.000 0.000
Ge2 0.500 0.500 0.000

Results
Energy = -0.2768 Ha/atom
Symmetry = P-42_1m (113)
Total magnetic moment = 0.000 μB/cell

Entry 3:
An optimized crystal structure of ZrNbCCl2, computed with PBE.

abc: 3.404 3.404 9.316
angles: 90.00 90.00 120.00
Fractional coordinates of all 5 atoms:
Cl1 0.667 0.333 0.816
Cl2 0.333 0.667 0.190
C1 0.000 0.000 0.493
Zr1 0.333 0.667 0.622
Nb1 0.667 0.333 0.379

Results
Energy = -0.2766 Ha/atom
Symmetry = P3m1 (156)
Total magnetic moment = 0.005 μB/cell

total magnetic moment of number 3 (ZrNbCCl2)?
0.005 μB/cell